(1)
Compound: K3CrPd
Source: Alexandria via LeMat-Bulk
Functional: PBE
Structure: relaxed

The structure in POSCAR format:
```
K3CrPd
1.0
6.193 0.000 0.000
0.000 6.193 0.000
0.000 0.000 6.193
K Cr Pd
3 1 1
Direct
0.000 0.000 0.500
0.000 0.500 0.000
0.500 0.000 0.000
0.500 0.500 0.500
0.000 0.000 0.000
```

Output
symmetry: Pm-3m (221)

***

(2)
Compound: KCr3Pd
Source: Alexandria via LeMat-Bulk
Functional: PBE
Structure: relaxed

The structure in POSCAR format:
```
KCr3Pd
1.0
4.174 0.000 0.000
0.000 4.174 0.000
0.000 0.000 4.174
K Cr Pd
1 3 1
Direct
0.000 0.000 0.000
0.000 0.000 0.500
0.000 0.500 0.000
0.500 0.000 0.000
0.500 0.500 0.500
```

Output
symmetry: Pm-3m (221)

***

Number 1: ΔE to the lowest computed polymorph 0 meV per atom, formation energy from the elements 0.634 eV per atom. Number 2: ΔE to the lowest computed polymorph 1581 meV per atom, formation energy from the elements 2.698 eV per atom.